The following is a DFT calculation (PBE-GGA) of a relaxed LiNi3Sn crystal.

Cell lengths 4.0260, 4.0260, 4.0260 Å; angles 90.00, 90.00, 90.00 degrees
Sites, in units of the cell vectors:
Li  0.0000  0.0000  0.0000
Ni  0.0000  0.0000  0.5000
Ni  0.0000  0.5000  0.0000
Ni  0.5000  0.0000  0.0000
Sn  0.5000  0.5000  0.5000

Calculated values
- Energy relative to the elements: 192 kJ/mol of formula units
- Size of the total moment: 0.0 μB/f.u.

---

The following is a DFT calculation (PBE-GGA) of a relaxed LiNi9Sn2 crystal.

Cell lengths 8.3616, 8.3616, 8.3616 Å; angles 33.85, 33.85, 33.85 degrees
Sites, in units of the cell vectors:
Li  0.0000  0.0000  0.0000
Ni  0.0804  0.5847  0.5847
Ni  0.3335  0.3335  0.3335
Ni  0.4153  0.4153  0.9196
Ni  0.4153  0.9196  0.4153
Ni  0.5000  0.5000  0.5000
Ni  0.5847  0.0804  0.5847
Ni  0.5847  0.5847  0.0804
Ni  0.6665  0.6665  0.6665
Ni  0.9196  0.4153  0.4153
Sn  0.1328  0.1328  0.1328
Sn  0.8672  0.8672  0.8672

Calculated values
- Energy relative to the elements: 1 kJ/mol of formula units
- Size of the total moment: 3.0 μB/f.u.

---

The following is a DFT calculation (PBE-GGA) of a relaxed LiNi2Sn2 crystal.

Cell lengths 7.4843, 7.4843, 3.0116 Å; angles 90.00, 90.00, 90.00 degrees
Sites, in units of the cell vectors:
Li  0.0000  0.0000  0.0000
Li  0.5000  0.5000  0.0000
Ni  0.1338  0.3662  0.5000
Ni  0.3662  0.8662  0.5000
Ni  0.6338  0.1338  0.5000
Ni  0.8662  0.6338  0.5000
Sn  0.1610  0.6610  0.0000
Sn  0.3390  0.1610  0.0000
Sn  0.6610  0.8390  0.0000
Sn  0.8390  0.3390  0.0000

Calculated values
- Energy relative to the elements: -76 kJ/mol of formula units
- Size of the total moment: 0.0 μB/f.u.

---

The following is a DFT calculation (PBE-GGA) of a relaxed Li2Ni3Sn5 crystal.

Cell lengths 13.0918, 13.0918, 6.9611 Å; angles 90.00, 90.00, 161.33 degrees
Sites, in units of the cell vectors:
Li  0.0248  0.9752  0.5000
Li  0.3437  0.6563  0.4384
Li  0.6563  0.3437  0.9384
Li  0.9752  0.0248  0.0000
Ni  0.1035  0.8965  0.7484
Ni  0.2806  0.7194  0.9895
Ni  0.4491  0.5509  0.7098
Ni  0.5509  0.4491  0.2098
Ni  0.7194  0.2806  0.4895
Ni  0.8965  0.1035  0.2484
Sn  0.0965  0.9035  0.1219
Sn  0.2039  0.7961  0.7137
Sn  0.2082  0.7918  0.2601
Sn  0.3830  0.6170  0.9992
Sn  0.4584  0.5416  0.3317
Sn  0.5416  0.4584  0.8317
Sn  0.6170  0.3830  0.4992
Sn  0.7918  0.2082  0.7601
Sn  0.7961  0.2039  0.2137
Sn  0.9035  0.0965  0.6219

Calculated values
- Energy relative to the elements: -217 kJ/mol of formula units
- Size of the total moment: 0.0 μB/f.u.